No. 1
The following is a DFT calculation (PBE-GGA) of crystalline BiRuSCl2 at its relaxed geometry.

Output
- Energy above the most stable polymorph in this dataset: 299 kJ/mol of formula units
- V: 155.5 Å³/cell
- Space group: No. 123
- Calculated density: 4.41 g/cm3

a b c (Å): 5.350 5.350 5.435
angles (deg): 90.00 90.00 90.00
Atoms (fractional coordinates):
Bi: 0.000 0.000 0.000
Cl: 0.000 0.500 0.000
Cl: 0.500 0.000 0.000
Ru: 0.500 0.500 0.500
S: 0.000 0.000 0.500

No. 2
The following is a DFT calculation (PBE-GGA) of crystalline Ta2BiRuCl at its relaxed geometry.

Output
- V: 137.8 Å³/cell
- Calculated total energy: -5.4002 eV/atom
- Space group: No. 123
- Calculated density: 8.53 g/cm3

a b c (Å): 5.282 4.938 5.282
angles (deg): 90.00 90.00 90.00
Atoms (fractional coordinates):
Ta: 0.500 0.000 0.000
Ta: 0.000 0.000 0.500
Bi: 0.000 0.000 0.000
Cl: 0.500 0.500 0.500
Ru: 0.000 0.500 0.000

No. 3
The following is a DFT calculation (PBE-GGA) of crystalline BiS3Cl at its relaxed geometry.

Output
- Energy above the most stable polymorph in this dataset: 0 kJ/mol of formula units
- V: 308.6 Å³/cell
- Space group: No. 31
- Calculated density: 3.67 g/cm3

a b c (Å): 4.835 7.729 8.259
angles (deg): 89.99 90.00 89.98
Atoms (fractional coordinates):
Bi: 0.853 0.637 0.299
Bi: 0.353 0.716 0.799
Cl: 0.411 0.433 0.299
Cl: 0.911 0.920 0.799
S: 0.772 0.435 0.799
S: 0.043 0.478 0.607
S: 0.543 0.874 0.491
S: 0.272 0.918 0.299
S: 0.543 0.874 0.107
S: 0.043 0.478 0.991

No. 4
The following is a DFT calculation (PBE-GGA) of crystalline Bi2S8Cl at its relaxed geometry.

Output
- V: 368.3 Å³/cell
- Calculated total energy: -3.8616 eV/atom
- Space group: No. 2
- Calculated density: 3.20 g/cm3

a b c (Å): 5.869 15.093 11.405
angles (deg): 156.21 113.18 73.01
Atoms (fractional coordinates):
S: 0.790 0.273 0.985
S: 0.751 0.070 0.363
S: 0.495 0.569 0.846
S: 0.802 0.283 0.777
S: 0.505 0.431 0.154
S: 0.210 0.727 0.015
S: 0.249 0.930 0.637
S: 0.198 0.717 0.223
Bi: 0.326 0.186 0.469
Bi: 0.674 0.814 0.531
Cl: 0.000 0.000 0.000

No. 5
The following is a DFT calculation (PBE-GGA) of crystalline Bi3SCl at its relaxed geometry.

Output
- Energy above the most stable polymorph in this dataset: 0 kJ/mol of formula units
- V: 159.9 Å³/cell
- Space group: No. 221
- Calculated density: 7.21 g/cm3

a b c (Å): 5.427 5.427 5.427
angles (deg): 90.00 90.00 90.00
Atoms (fractional coordinates):
Bi: 0.000 0.000 0.500
Bi: 0.000 0.500 0.000
Bi: 0.500 0.000 0.000
S: 0.000 0.000 0.000
Cl: 0.500 0.500 0.500

No. 6
The following is a DFT calculation (PBE-GGA) of crystalline BiS3Cl at its relaxed geometry.

Output
- Energy above the most stable polymorph in this dataset: 512 kJ/mol of formula units
- V: 151.6 Å³/cell
- Space group: No. 221
- Calculated density: 3.73 g/cm3

a b c (Å): 5.332 5.332 5.332
angles (deg): 90.00 90.00 90.00
Atoms (fractional coordinates):
S: 0.000 0.500 0.000
S: 0.000 0.000 0.500
S: 0.500 0.000 0.000
Cl: 0.500 0.500 0.500
Bi: 0.000 0.000 0.000